Material: AcCo2RuO8
Method: DFT, PBE+U
State: relaxed

DOS(E_F) in states/eV/cell: 2.1
E in eV per atom: -6.32
Space group: I-4m2

abc: 5.907 5.907 5.907
angles: 107.08 107.08 114.36
Atoms (fractional coordinates):
Ac 0.000 0.000 0.000
Co 0.250 0.750 0.500
Co 0.500 0.500 0.000
Ru 0.750 0.250 0.500
O 0.033 0.380 0.348
O 0.033 0.685 0.652
O 0.110 0.321 0.789
O 0.315 0.967 0.348
O 0.532 0.321 0.211
O 0.620 0.967 0.652
O 0.679 0.468 0.789
O 0.679 0.890 0.211